## TlBPt2I (PBE)

Data for crystalline TlBPt2I at its relaxed geometry.

Computed properties:
- Total energy: -3.174 eV per atom
- ΔE_f (raw): 1.3607 eV/atom
- D(E_F): 0.511 states/eV/atom

abc: 5.153 5.153 4.531
angles: 90.00 90.00 90.00
Space group P4/mmm (No. 123)
One atom of each set of equivalent atoms:
Tl 0.000 0.000 0.000
B 0.500 0.500 0.000
Pt 0.000 0.500 0.500
I 0.500 0.500 0.500

***

## PuBI (PBE)

Data for crystalline PuBI at its relaxed geometry.

Computed properties:
- Total energy: -8.009 eV per atom
- ΔE_f (raw): -0.4890 eV/atom
- D(E_F): 2.081 states/eV/atom

abc: 7.452 3.347 12.110
angles: 90.00 100.71 90.00
Space group C2/m (No. 12)
One atom of each set of equivalent atoms:
Pu 0.044 0.000 0.138
B 0.216 0.500 0.001
I 0.203 0.000 0.675

***

## RbBI3 (PBE)

Data for crystalline RbBI3 at its relaxed geometry.

Computed properties:
- Total energy: -2.474 eV per atom
- ΔE_f (raw): -0.0146 eV/atom
- D(E_F): 0.265 states/eV/atom

abc: 5.440 5.440 5.440
angles: 90.00 90.00 90.00
Space group Pm-3m (No. 221)
One atom of each set of equivalent atoms:
Rb 0.000 0.000 0.000
B 0.500 0.500 0.500
I 0.000 0.500 0.500

***

Which of these has the highest total energy? RbBI3

***

Which value of D(E_F) does entry 3 give? 0.265 states/eV/atom